Entry 1:
VASP calculation (PBE) on crystalline CuH26C14I3N4 at its relaxed geometry.

abc: 8.1433 8.7738 15.8144
angles: 77.90 84.30 73.11
Closest atoms and distances in Å follow each position.
Positions (direct):
C (0.2196, 0.2082, 0.0415)  1 H 1.09
C (0.2353, 0.3584, 0.0424)  1 H 1.09
C (0.7651, 0.3923, 0.0710)  3 H 1.10
C (0.8265, 0.9347, 0.0742)  2 H 1.10
C (0.8152, 0.6476, 0.0928)  2 N 1.35, 1 C 1.47
C (0.6649, 0.0124, 0.1236)  3 H 1.10
C (0.8450, 0.5996, 0.1861)  3 H 1.10
C (0.4897, 0.2460, 0.2880)  3 H 1.10
C (0.1531, 0.5074, 0.3547)  1 H 1.09
C (0.4443, 0.3070, 0.3727)  2 H 1.10
C (0.9892, 0.5098, 0.3834)  1 H 1.09
C (0.1611, 0.2685, 0.4399)  2 N 1.35, 1 C 1.47
C (0.8490, 0.3082, 0.4761)  3 H 1.10
C (0.2163, 0.1000, 0.4874)  3 H 1.09-1.10
C (0.7837, 0.9000, 0.5126)  3 H 1.09-1.10
C (0.1510, 0.6918, 0.5239)  3 H 1.10
C (0.8389, 0.7315, 0.5601)  2 N 1.35, 1 C 1.47
C (0.0108, 0.4902, 0.6166)  1 H 1.09
C (0.5557, 0.6930, 0.6273)  2 H 1.10
C (0.8469, 0.4926, 0.6453)  1 H 1.09
C (0.5103, 0.7540, 0.7120)  3 H 1.10
C (0.1550, 0.4004, 0.8139)  3 H 1.10
C (0.3351, 0.9876, 0.8764)  3 H 1.10
C (0.1848, 0.3524, 0.9072)  2 N 1.35, 1 C 1.47
C (0.1735, 0.0653, 0.9258)  2 H 1.10
C (0.2349, 0.6077, 0.9290)  3 H 1.10
C (0.7647, 0.6416, 0.9576)  1 H 1.09
C (0.7804, 0.7918, 0.9585)  1 H 1.09
Cu (0.2904, 0.8603, 0.2613)  3 I 2.52-2.55, 1 H 2.54
Cu (0.7096, 0.1397, 0.7387)  3 I 2.52-2.55, 1 H 2.54
H (0.8502, 0.0210, 0.0163)  1 C 1.10
H (0.8075, 0.3230, 0.0188)  1 C 1.10
H (0.5574, 0.0678, 0.0803)  1 C 1.10
H (0.6284, 0.4023, 0.0871)  1 C 1.10
H (0.2257, 0.1033, 0.0931)  1 C 1.09
H (0.2600, 0.4121, 0.0940)  1 C 1.09
H (0.9401, 0.8953, 0.1141)  1 C 1.10
H (0.8403, 0.3303, 0.1284)  1 C 1.10
H (0.6896, 0.1068, 0.1522)  1 C 1.10
H (0.6277, 0.9248, 0.1770)  1 C 1.10
H (0.9238, 0.4731, 0.2026)  1 C 1.10
H (0.9119, 0.6780, 0.2053)  1 C 1.10
H (0.7224, 0.6116, 0.2243)  1 C 1.10
H (0.4406, 0.3440, 0.2330)  1 C 1.10
H (0.6302, 0.2040, 0.2796)  1 C 1.10
H (0.4379, 0.1435, 0.2878)  1 C 1.10
H (0.2049, 0.5982, 0.3120)  1 C 1.09
H (0.8676, 0.6023, 0.3715)  1 C 1.09
H (0.4898, 0.4139, 0.3718)  1 C 1.10
H (0.5007, 0.2147, 0.4283)  1 C 1.10
H (0.8224, 0.2260, 0.4389)  1 C 1.10
H (0.8271, 0.9094, 0.4440)  1 C 1.10
H (0.1261, 0.7542, 0.4567)  1 C 1.10
H (0.1619, 0.0239, 0.4576)  1 C 1.10
H (0.7377, 0.4147, 0.4754)  1 C 1.10
H (0.3560, 0.0521, 0.4835)  1 C 1.09
H (0.6440, 0.9479, 0.5165)  1 C 1.09
H (0.2623, 0.5853, 0.5246)  1 C 1.10
H (0.8381, 0.9761, 0.5424)  1 C 1.10
H (0.8739, 0.2458, 0.5433)  1 C 1.10
H (0.1729, 0.0906, 0.5560)  1 C 1.10
H (0.1776, 0.7740, 0.5611)  1 C 1.10
H (0.4993, 0.7853, 0.5717)  1 C 1.10
H (0.5102, 0.5861, 0.6282)  1 C 1.10
H (0.1324, 0.3977, 0.6285)  1 C 1.09
H (0.7951, 0.4018, 0.6880)  1 C 1.09
H (0.5621, 0.8565, 0.7122)  1 C 1.10
H (0.3698, 0.7960, 0.7204)  1 C 1.10
H (0.5594, 0.6560, 0.7670)  1 C 1.10
H (0.2776, 0.3884, 0.7757)  1 C 1.10
H (0.0881, 0.3220, 0.7947)  1 C 1.10
H (0.0762, 0.5269, 0.7974)  1 C 1.10
H (0.3723, 0.0752, 0.8230)  1 C 1.10
H (0.3104, 0.8932, 0.8478)  1 C 1.10
H (0.1597, 0.6697, 0.8716)  1 C 1.10
H (0.0599, 0.1047, 0.8859)  1 C 1.10
H (0.7400, 0.5879, 0.9060)  1 C 1.09
H (0.7743, 0.8967, 0.9069)  1 C 1.09
H (0.3716, 0.5977, 0.9129)  1 C 1.10
H (0.4426, 0.9322, 0.9197)  1 C 1.10
H (0.1925, 0.6770, 0.9812)  1 C 1.10
H (0.1498, 0.9790, 0.9837)  1 C 1.10
I (0.3342, 0.7182, 0.1323)  1 Cu 2.55
I (0.0139, 0.0769, 0.2764)  1 Cu 2.52
I (0.5177, 0.7556, 0.3732)  1 Cu 2.53, 1 H 2.78
I (0.4823, 0.2444, 0.6268)  1 Cu 2.53, 1 H 2.78
I (0.9861, 0.9231, 0.7236)  1 Cu 2.52
I (0.6658, 0.2818, 0.8677)  1 Cu 2.55
N (0.7869, 0.5539, 0.0412)  3 C 1.35-1.45
N (0.8117, 0.7934, 0.0426)  3 C 1.35-1.47
N (0.2581, 0.3579, 0.3907)  3 C 1.35-1.47
N (0.9967, 0.3614, 0.4360)  3 C 1.35-1.46
N (0.0033, 0.6386, 0.5640)  3 C 1.35-1.46
N (0.7419, 0.6421, 0.6093)  3 C 1.35-1.47
N (0.1883, 0.2066, 0.9574)  3 C 1.35-1.47
N (0.2131, 0.4461, 0.9588)  3 C 1.35-1.45

Results
electronic total energy = -5.54 eV/atom

---

Entry 2:
VASP calculation (PBE) on crystalline HoNi3 at its relaxed geometry.

abc: 3.8277 3.8277 3.8277
angles: 90.00 90.00 90.00
Closest atoms and distances in Å follow each position.
Positions (direct):
Ho (0.0000, 0.0000, 0.0000)  12 Ni 2.71
Ni (0.5000, 0.5000, 0.0000)  4 Ho 2.71, 8 Ni 2.71
Ni (0.5000, 0.0000, 0.5000)  4 Ho 2.71, 8 Ni 2.71
Ni (0.0000, 0.5000, 0.5000)  4 Ho 2.71, 8 Ni 2.71

Results
electronic total energy = -5.60 eV/atom
calculated formation energy = -0.28 eV per atom